This record from the Alexandria database describes a geometry-optimized Li4V2Co3Sb3O16 structure. The functional is PBE with a Hubbard U.

Results
Calculated volume in Å³ per atom: 11.3
Density in g/cm³: 4.9
E in eV/atom: -6.248
Total magnetization in μB per cell: 12.00
Space-group type: Cm, No. 8

a b c (Å): 6.140 6.140 9.726
angles (deg): 90.66 90.66 59.50
Sites, in units of the cell vectors:
Li: 0.000 0.000 0.000
Li: 0.018 0.018 0.527
Li: 0.345 0.345 0.422
Li: 0.688 0.688 0.904
V: 0.368 0.368 0.994
V: 0.702 0.702 0.519
Co: 0.214 0.678 0.735
Co: 0.678 0.214 0.735
Co: 0.850 0.850 0.234
Sb: 0.197 0.197 0.733
Sb: 0.354 0.849 0.234
Sb: 0.849 0.354 0.234
O: 0.024 0.024 0.339
O: 0.029 0.029 0.817
O: 0.060 0.497 0.864
O: 0.177 0.177 0.123
O: 0.187 0.701 0.122
O: 0.353 0.353 0.622
O: 0.364 0.866 0.613
O: 0.497 0.060 0.864
O: 0.508 0.508 0.873
O: 0.526 0.975 0.359
O: 0.534 0.534 0.358
O: 0.677 0.677 0.122
O: 0.701 0.187 0.122
O: 0.847 0.847 0.600
O: 0.866 0.364 0.613
O: 0.975 0.526 0.359